(1)
VASP calculation (PBE-GGA) on a relaxed Mn3AlTc crystal.

Summary:
Space-group type: Pm-3m, No. 221
Uncorrected energy (eV for the cell shown): -35.70
Energy of formation (meV per atom): 1183.6

abc: 4.547 4.547 4.547
angles: 90.00 90.00 90.00
Atoms (fractional coordinates):
Mn 0.000 0.500 0.000
Mn 0.000 0.000 0.500
Mn 0.500 0.000 0.000
Tc 0.000 0.000 0.000
Al 0.500 0.500 0.500

(2)
VASP calculation (PBE-GGA) on a relaxed MnAlTc crystal.

Summary:
Space-group type: P3m1, No. 156
Uncorrected energy (eV for the cell shown): -23.71
Energy of formation (meV per atom): -143.1

abc: 4.150 4.150 2.678
angles: 90.00 90.00 120.00
Atoms (fractional coordinates):
Mn 0.667 0.333 0.351
Tc 0.333 0.667 0.620
Al 0.000 0.000 0.030

(3)
VASP calculation (PBE-GGA) on a relaxed Mn2AlTc crystal.

Summary:
Space-group type: I-42d, No. 122
Uncorrected energy (eV for the cell shown): -61.04
Energy of formation (meV per atom): 482.3

abc: 6.791 6.791 5.451
angles: 51.47 51.47 90.00
Atoms (fractional coordinates):
Mn 0.645 0.125 0.250
Mn 0.105 0.625 0.250
Mn 0.375 0.355 0.750
Mn 0.875 0.895 0.750
Tc 0.000 0.000 0.000
Tc 0.750 0.250 0.500
Al 0.500 0.500 0.000
Al 0.250 0.750 0.500